An optimized crystal structure of NdDy6Cd, computed with PBE-GGA.

Summary:
Final energy ... -4.111 eV/atom
Total magnetic moment ... 0.000 μB per formula unit
V ... 31.16 Å³ per atom

Unit cell a=9.2892 b=9.2892 c=10.0061 alpha=90.00 beta=90.00 gamma=120.00
Closest atoms and distances in Å follow each position.
Space group R-3 (No. 148, hexagonal axes)
Asymmetric unit:
Nd 0.0000 0.0000 0.0000 (multiplicity 3)  12 Dy 3.47-3.64
Dy 0.0245 0.7679 0.7160 (multiplicity 18)  1 Cd 3.14, 2 Dy 3.23-3.28, 1 Nd 3.47
Cd 0.0000 0.0000 0.5000 (multiplicity 3)  6 Dy 3.14